A geometry-optimized HoTl2V3F12 structure. Source: Alexandria via LeMat-Bulk, functional PBE with a Hubbard U.

Raw total energy in eV per cell: -315.9
Calculated density in g/cm³: 4.86
M_tot in μB/atom: 0.444

Cell lengths 7.6143, 7.6143, 19.4911 Å; angles 90.00, 90.00, 120.00 degrees
Space group R-3m (No. 166, hexagonal axes)
One atom of each set of equivalent atoms:
Ho (0.0000, 0.0000, 0.0000) x3
Tl (0.0000, 0.0000, 0.4073) x6
V (0.0000, 0.5000, 0.5000) x9
F (0.0614, 0.5307, 0.6040) x18
F (0.0611, 0.5305, 0.8494) x18